(1)
The following is a DFT calculation (PBE) of PuH2Br after structural relaxation.

## Properties
Space group   P2_1/m

```
PuH2Br
1.0
-1.1358 -3.6666 0.5522
5.6859 0.1667 -1.1934
1.2223 0.5091 5.8947
H Pu Br
4 2 2
Direct
0.1863 0.3757 0.4379 H
0.1863 0.3757 0.0621 H
0.8137 0.6243 0.5621 H
0.8137 0.6243 0.9379 H
0.7032 0.4083 0.2500 Pu
0.2968 0.5917 0.7500 Pu
0.5718 0.1533 0.7500 Br
0.4282 0.8467 0.2500 Br
```

(2)
The following is a DFT calculation (PBE) of PuH2Br after structural relaxation.

## Properties
Space group   P4/mmm

```
PuH2Br
1.0
-2.5886 -0.8429 -1.7290
-0.6451 -2.3506 2.1118
-3.1956 3.5989 3.0297
H Pu Br
2 1 1
Direct
0.0000 0.0000 0.8432 H
0.0000 0.0000 0.1568 H
0.5000 0.5000 0.0000 Pu
0.5000 0.5000 0.5000 Br
```

(3)
The following is a DFT calculation (PBE) of PuH6Br12 after structural relaxation.

## Properties
Space group   R-3

```
PuH6Br12
1.0
-6.9548 -5.1439 1.9065
2.6134 -0.0787 8.4633
-4.8043 7.3169 1.3583
H Br Pu
6 12 1
Direct
0.7057 0.6855 0.4950 H
0.6855 0.4950 0.7057 H
0.4950 0.7057 0.6855 H
0.3145 0.5050 0.2943 H
0.2943 0.3145 0.5050 H
0.5050 0.2943 0.3145 H
0.3947 0.1893 0.5352 Br
0.6053 0.8107 0.4648 Br
0.8107 0.4648 0.6053 Br
0.4648 0.6053 0.8107 Br
0.0916 0.2770 0.9369 Br
0.7230 0.0631 0.9084 Br
0.0631 0.9084 0.7230 Br
0.9084 0.7230 0.0631 Br
0.9369 0.0916 0.2770 Br
0.5352 0.3947 0.1893 Br
0.1893 0.5352 0.3947 Br
0.2770 0.9369 0.0916 Br
0.0000 0.0000 0.0000 Pu
```

(4)
The following is a DFT calculation (PBE) of PuHBr2 after structural relaxation.

## Properties
Space group   R-3m

```
PuHBr2
1.0
-0.4825 -3.7651 -0.1133
2.5988 -2.1975 -1.6850
4.8337 -2.7377 6.7461
Pu Br H
1 2 1
Direct
0.0000 0.0000 0.0000 Pu
0.1057 0.1057 0.6830 Br
0.8943 0.8943 0.3170 Br
0.5000 0.5000 0.5000 H
```

(5)
The following is a DFT calculation (PBE) of PuH2Br2 after structural relaxation.

## Properties
Space group   P-3m1

```
PuH2Br2
1.0
4.2832 0.0002 -0.0064
2.1415 3.7094 -0.0064
0.0125 0.0072 8.4046
H Pu Br
2 1 2
Direct
0.3333 0.3333 0.5781 H
0.6667 0.6667 0.4219 H
0.0000 0.0000 0.0000 Pu
0.3333 0.3333 0.1945 Br
0.6667 0.6667 0.8055 Br
```

(6)
The following is a DFT calculation (PBE) of Pu2HBr after structural relaxation.

## Properties
Space group   R-3m

```
Pu2HBr
1.0
-2.5840 -2.3792 -0.8116
-0.8212 -2.6318 2.3229
-6.2067 2.7437 3.7119
H Pu Br
1 2 1
Direct
0.0000 0.0000 0.0000 H
0.2723 0.2723 0.1831 Pu
0.7277 0.7277 0.8169 Pu
0.5000 0.5000 0.5000 Br
```

(7)
The following is a DFT calculation (PBE) of RbPuH2Br8 after structural relaxation.

## Properties
Space group   P-1

```
RbPuH2Br8
1.0
-8.0579 -1.0308 -1.4418
0.5108 -0.2219 -7.3584
1.3844 -7.3445 6.6145
Br H Pu Rb
8 2 1 1
Direct
0.8291 0.2325 0.8979 Br
0.8452 0.6061 0.7276 Br
0.3902 0.2932 0.6490 Br
0.6098 0.7068 0.3510 Br
0.1709 0.7675 0.1021 Br
0.7611 0.1010 0.1999 Br
0.1548 0.3939 0.2724 Br
0.2389 0.8990 0.8001 Br
0.3297 0.5208 0.7016 H
0.6703 0.4792 0.2984 H
0.0000 0.0000 0.0000 Pu
0.0000 0.0000 0.5000 Rb
```

(8)
The following is a DFT calculation (PBE) of Pu2H2SBr after structural relaxation.

## Properties
Space group   P-3m1

```
Pu2H2SBr
1.0
3.8788 0.0000 0.0000
-1.9394 3.3591 0.0000
0.0000 0.0000 7.9966
S H Pu Br
1 2 2 1
Direct
0.0000 0.0000 0.5000 S
0.6667 0.3333 0.2589 H
0.3333 0.6667 0.7411 H
0.6667 0.3333 0.7149 Pu
0.3333 0.6667 0.2851 Pu
0.0000 0.0000 0.0000 Br
```

Magnetization for the records above, in order: 10.000; 4.992; 2.000; 6.538; 7.597; 12.444; 3.000; 11.000 Bohr magnetons per cell
Energy for the records above, in order: -6.3747; -5.9257; -3.3260; -5.1595; -4.8287; -8.8936; -3.8659; -7.9515 eV/atom
Mass density for the records above, in order: 8.46; 9.15; 2.89; 6.36; 5.05; 11.27; 3.46; 9.59 Mg/m³